A plane-wave DFT calculation with PBE was carried out for a relaxed BaCuCl3 crystal.

Cell: 4.9470 4.9470 4.9470 Å, 90.00 90.00 90.00°
Space group Pm-3m (No. 221)
Inequivalent atoms, fractional coordinates:
1 Ba 0.0000 0.0000 0.0000 x1
2 Cu 0.5000 0.5000 0.5000 x1
3 Cl 0.0000 0.5000 0.5000 x3

Results
Magnetization in μB/atom: 0.00
Relative energy among the computed polymorphs in eV per atom: 0.142
ΔE_f (raw) in eV per atom: -1.54
Density in g/cm³: 4.21
Crystal system: cubic

=====

A plane-wave DFT calculation with PBE was carried out for a relaxed Ba2CuCl crystal.

Cell: 5.0260 6.6289 8.2105 Å, 90.00 90.00 90.00°
Space group Immm (No. 71)
Inequivalent atoms, fractional coordinates:
1 Ba 0.0000 0.0000 0.2456 x4
2 Cu 0.0000 0.5000 0.0000 x2
3 Cl 0.0000 0.5000 0.5000 x2

Results
Magnetization in μB/atom: 0.00
Relative energy among the computed polymorphs in eV per atom: 0.179
ΔE_f (raw) in eV per atom: -0.69
Density in g/cm³: 4.54
Crystal system: orthorhombic

=====

A plane-wave DFT calculation with PBE was carried out for a relaxed BaCuCl4 crystal.

Cell: 6.8090 5.8121 9.6209 Å, 90.00 122.28 90.00°
Space group P2_1/c (No. 14)
Inequivalent atoms, fractional coordinates:
1 Ba 0.0000 0.0000 0.0000 x2
2 Cu 0.5000 0.0000 0.5000 x2
3 Cl 0.1048 0.0027 0.3714 x4
4 Cl 0.4780 0.2093 0.8333 x4

Results
Magnetization in μB/atom: 0.17
Relative energy among the computed polymorphs in eV per atom: 0.000
ΔE_f (raw) in eV per atom: -1.48
Density in g/cm³: 3.54
Crystal system: monoclinic

=====

A plane-wave DFT calculation with PBE was carried out for a relaxed BaCu2Cl4 crystal.

Cell: 9.9398 9.9398 7.2515 Å, 90.00 90.00 90.00°
Space group I-42d (No. 122)
Inequivalent atoms, fractional coordinates:
1 Ba 0.0000 0.0000 0.0000 x4
2 Cu 0.0720 0.2500 0.6250 x8
3 Cl 0.0532 0.7018 0.8907 x16

Results
Magnetization in μB/atom: 0.00
Relative energy among the computed polymorphs in eV per atom: 0.000
ΔE_f (raw) in eV per atom: -1.29
Density in g/cm³: 3.77
Crystal system: tetragonal

=====

A plane-wave DFT calculation with PBE was carried out for a relaxed BaCu4Cl8 crystal.

Cell: 7.2917 7.2917 21.7991 Å, 90.00 90.00 120.00°
Space group R-3m (No. 166, hexagonal axes)
Inequivalent atoms, fractional coordinates:
1 Ba 0.0000 0.0000 0.0000 x3
2 Cu 0.0000 0.0000 0.5000 x3
3 Cu 0.0000 0.5000 0.5000 x9
4 Cl 0.0000 0.0000 0.2201 x6
5 Cl 0.0096 0.5048 0.2322 x18

Results
Magnetization in μB/atom: 0.16
ΔE_f (raw) in eV per atom: -0.87
Density in g/cm³: 3.35
Crystal system: trigonal

=====

A plane-wave DFT calculation with PBE was carried out for a relaxed Ba3CuCl crystal.

Cell: 6.0256 6.0256 6.0256 Å, 90.00 90.00 90.00°
Space group Pm-3m (No. 221)
Inequivalent atoms, fractional coordinates:
1 Ba 0.0000 0.0000 0.5000 x3
2 Cu 0.5000 0.5000 0.5000 x1
3 Cl 0.0000 0.0000 0.0000 x1

Results
Magnetization in μB/atom: 0.00
Relative energy among the computed polymorphs in eV per atom: 0.000
ΔE_f (raw) in eV per atom: -0.34
Density in g/cm³: 3.88
Crystal system: cubic

=====

A plane-wave DFT calculation with PBE was carried out for a relaxed BaCuCl4 crystal.

Cell: 8.6107 8.6107 8.6107 Å, 90.00 90.00 90.00°
Space group F-43m (No. 216)
Inequivalent atoms, fractional coordinates:
1 Ba 0.0000 0.0000 0.0000 x4
2 Cu 0.2500 0.2500 0.2500 x4
3 Cl 0.1244 0.1244 0.6244 x16

Results
Magnetization in μB/atom: 0.28
Relative energy among the computed polymorphs in eV per atom: 1.106
ΔE_f (raw) in eV per atom: -0.37
Density in g/cm³: 3.57
Crystal system: cubic

=====

A plane-wave DFT calculation with PBE was carried out for a relaxed Ba2CuCl crystal.

Cell: 8.2614 8.2614 9.4541 Å, 90.00 90.00 90.00°
Space group I-42d (No. 122)
Inequivalent atoms, fractional coordinates:
1 Ba 0.2473 0.2500 0.1250 x8
2 Cu 0.0000 0.0000 0.0000 x4
3 Cl 0.0000 0.0000 0.5000 x4

Results
Magnetization in μB/atom: 0.00
Relative energy among the computed polymorphs in eV per atom: 0.131
ΔE_f (raw) in eV per atom: -0.74
Density in g/cm³: 3.85
Crystal system: tetragonal

=====

A plane-wave DFT calculation with PBE was carried out for a relaxed BaCu4Cl crystal.

Cell: 7.6687 7.6687 7.6687 Å, 90.00 90.00 90.00°
Space group F-43m (No. 216)
Inequivalent atoms, fractional coordinates:
1 Ba 0.0000 0.0000 0.0000 x4
2 Cu 0.1226 0.1226 0.3774 x16
3 Cl 0.2500 0.2500 0.7500 x4

Results
Magnetization in μB/atom: 0.00
ΔE_f (raw) in eV per atom: -0.04
Density in g/cm³: 6.29
Crystal system: cubic

=====

A plane-wave DFT calculation with PBE was carried out for a relaxed Ba2CuCl crystal.

Cell: 4.1131 4.0473 8.8071 Å, 90.00 90.08 90.00°
Space group P2/m (No. 10)
Inequivalent atoms, fractional coordinates:
1 Ba 0.0056 0.0000 0.2825 x2
2 Cu 0.5000 0.5000 0.5000 x1
3 Cl 0.0000 0.5000 0.0000 x1

Results
Magnetization in μB/atom: 0.00
Relative energy among the computed polymorphs in eV per atom: 0.069
ΔE_f (raw) in eV per atom: -0.80
Density in g/cm³: 4.23
Crystal system: monoclinic

=====

A plane-wave DFT calculation with PBE was carried out for a relaxed Ba2CuCl crystal.

Cell: 4.6306 4.6330 6.6800 Å, 90.00 90.09 90.00°
Space group P2/m (No. 10)
Inequivalent atoms, fractional coordinates:
1 Ba 0.0000 0.0000 0.0000 x1
2 Ba 0.5000 0.5000 0.5000 x1
3 Cu 0.0000 0.0000 0.5000 x1
4 Cl 0.5000 0.5000 0.0000 x1

Results
Magnetization in μB/atom: 0.27
Relative energy among the computed polymorphs in eV per atom: 0.010
ΔE_f (raw) in eV per atom: -0.86
Density in g/cm³: 4.33
Crystal system: monoclinic

=====

A plane-wave DFT calculation with PBE was carried out for a relaxed BaErCu2Cl8 crystal.

Cell: 6.3972 6.3972 9.0230 Å, 90.00 90.00 120.00°
Space group P-3 (No. 147)
Inequivalent atoms, fractional coordinates:
1 Ba 0.0000 0.0000 0.0000 x1
2 Er 0.0000 0.0000 0.5000 x1
3 Cu 0.3333 0.6667 0.7435 x2
4 Cl 0.0127 0.6899 0.3162 x6
5 Cl 0.3333 0.6667 0.9915 x2

Results
Magnetization in μB/atom: 0.09
ΔE_f (raw) in eV per atom: -1.52
Density in g/cm³: 3.71
Crystal system: trigonal

=====

A plane-wave DFT calculation with PBE was carried out for a relaxed Ba5Cu4ClF17 crystal.

Cell: 10.8823 10.8823 13.0106 Å, 90.00 90.00 120.00°
Space group P-62m (No. 189)
Inequivalent atoms, fractional coordinates:
1 Ba 0.0000 0.2675 0.1911 x6
2 Ba 0.0000 0.7554 0.5000 x3
3 Ba 0.3333 0.6667 0.0000 x2
4 Ba 0.3333 0.6667 0.3389 x4
5 Cu 0.0000 0.4207 0.5000 x3
6 Cu 0.0000 0.5945 0.2338 x6
7 Cu 0.0000 0.7621 0.0000 x3
8 Cl 0.0000 0.0000 0.0000 x1
9 Cl 0.0000 0.0000 0.3348 x2
10 F 0.0000 0.2433 0.5000 x3
11 F 0.0000 0.4283 0.3525 x6
12 F 0.0000 0.7723 0.1445 x6
13 F 0.1440 0.5682 0.1649 x12
14 F 0.1443 0.7568 0.3094 x12
15 F 0.1609 0.6318 0.5000 x6
16 F 0.1628 0.3688 0.0000 x6

Results
Magnetization in μB/atom: 0.15
ΔE_f (raw) in eV per atom: -2.79
Density in g/cm³: 4.85
Crystal system: hexagonal

=====

A plane-wave DFT calculation with PBE was carried out for a relaxed BaCu2HgCl8 crystal.

Cell: 7.2604 7.2604 8.5281 Å, 90.00 90.00 120.00°
Space group P-3m1 (No. 164)
Inequivalent atoms, fractional coordinates:
1 Ba 0.0000 0.0000 0.0000 x1
2 Cu 0.3333 0.6667 0.2134 x2
3 Hg 0.0000 0.0000 0.5000 x1
4 Cl 0.1605 0.3210 0.2909 x6
5 Cl 0.3333 0.6667 0.9575 x2

Results
Magnetization in μB/atom: 0.18
ΔE_f (raw) in eV per atom: -0.91
Density in g/cm³: 3.19
Crystal system: trigonal

=====

A plane-wave DFT calculation with PBE was carried out for a relaxed K2BaCu2Cl6 crystal.

Cell: 12.8533 7.6610 7.9495 Å, 90.00 118.88 90.00°
Space group C2/m (No. 12)
Inequivalent atoms, fractional coordinates:
1 K 0.2274 0.0000 0.1812 x4
2 Ba 0.0000 0.0000 0.5000 x2
3 Cu 0.0394 0.5000 0.2119 x4
4 Cl 0.0722 0.2576 0.8341 x8
5 Cl 0.2369 0.5000 0.3955 x4

Results
Magnetization in μB/atom: 0.02
ΔE_f (raw) in eV per atom: -1.52
Density in g/cm³: 2.69
Crystal system: monoclinic

=====

A plane-wave DFT calculation with PBE was carried out for a relaxed K2BaCu2Cl7 crystal.

Cell: 6.9186 6.9190 13.2627 Å, 90.00 105.06 90.00°
Space group C2/m (No. 12)
Inequivalent atoms, fractional coordinates:
1 K 0.1821 0.0000 0.3658 x4
2 Ba 0.0000 0.0000 0.0000 x2
3 Cu 0.0996 0.5000 0.2006 x4
4 Cl 0.0000 0.5000 0.0000 x2
5 Cl 0.1603 0.2500 0.8193 x8
6 Cl 0.1935 0.5000 0.3890 x4

Results
Magnetization in μB/atom: 0.05
ΔE_f (raw) in eV per atom: -1.48
Density in g/cm³: 3.20
Crystal system: monoclinic

=====

A plane-wave DFT calculation with PBE was carried out for a relaxed KBaCu2Cl8 crystal.

Cell: 7.1307 7.1307 13.2258 Å, 90.00 90.00 90.00°
Space group I-4 (No. 82)
Inequivalent atoms, fractional coordinates:
1 K 0.0000 0.0000 0.0000 x2
2 Ba 0.0000 0.5000 0.7500 x2
3 Cu 0.0000 0.0000 0.5000 x2
4 Cu 0.0000 0.5000 0.2500 x2
5 Cl 0.0503 0.3025 0.5246 x8
6 Cl 0.1064 0.7922 0.2187 x8

Results
Magnetization in μB/atom: 0.06
ΔE_f (raw) in eV per atom: -1.15
Density in g/cm³: 2.90
Crystal system: tetragonal

=====

A plane-wave DFT calculation with PBE was carried out for a relaxed Ba2LaCuCl crystal.

Cell: 6.8364 6.8364 4.5281 Å, 90.00 90.00 90.00°
Space group P4/mmm (No. 123)
Inequivalent atoms, fractional coordinates:
1 Ba 0.0000 0.5000 0.0000 x2
2 La 0.0000 0.0000 0.5000 x1
3 Cu 0.5000 0.5000 0.0000 x1
4 Cl 0.5000 0.5000 0.5000 x1

Results
Magnetization in μB/atom: 0.10
ΔE_f (raw) in eV per atom: 0.09
Density in g/cm³: 4.02
Crystal system: tetragonal

=====

A plane-wave DFT calculation with PBE was carried out for a relaxed BaMgCuCl5 crystal.

Cell: 8.3058 11.5174 9.1589 Å, 90.00 109.57 90.00°
Space group C2/c (No. 15)
Inequivalent atoms, fractional coordinates:
1 Ba 0.0000 0.1532 0.2500 x4
2 Mg 0.0000 0.5000 0.0000 x4
3 Cu 0.0000 0.1776 0.7500 x4
4 Cl 0.0000 0.4258 0.2500 x4
5 Cl 0.1053 0.2982 0.5985 x8
6 Cl 0.1849 0.0621 0.9459 x8

Results
Magnetization in μB/atom: 0.01
ΔE_f (raw) in eV per atom: -1.72
Density in g/cm³: 3.24
Crystal system: monoclinic

=====

A plane-wave DFT calculation with PBE was carried out for a relaxed BaMgCuCl6 crystal.

Cell: 6.3476 6.3804 6.7115 Å, 93.23 93.57 113.52°
Space group P1 (No. 1)
Inequivalent atoms, fractional coordinates:
1 Ba 0.0000 0.0000 0.0000 x1
2 Mg 0.3436 0.6617 0.5023 x1
3 Cu 0.6920 0.3175 0.4970 x1
4 Cl 0.0258 0.3513 0.6795 x1
5 Cl 0.0341 0.6207 0.2504 x1
6 Cl 0.3852 0.9641 0.7581 x1
7 Cl 0.4156 0.3595 0.2830 x1
8 Cl 0.6464 0.5849 0.7166 x1
9 Cl 0.6501 0.9795 0.3217 x1

Results
Magnetization in μB/atom: 0.11
ΔE_f (raw) in eV per atom: -1.58
Density in g/cm³: 2.93
Crystal system: triclinic